[1]
DFT (PBE-GGA) results for crystalline TbPdRuPb at its relaxed geometry.

Computed properties:
The value obtained for the energy relative to the elements is -318 meV/atom.

CIF file:
```
data_TbPdRuPb
_symmetry_space_group_name_H-M 'F -4 3 m'
_symmetry_Int_Tables_number 216
_symmetry_space_group_name_Hall 'F -4 2 3'
_cell_length_a 6.800
_cell_length_b 6.800
_cell_length_c 6.800
_cell_angle_alpha 90.00
_cell_angle_beta 90.00
_cell_angle_gamma 90.00
loop_
_atom_site_label
_atom_site_type_symbol
_atom_site_fract_x
_atom_site_fract_y
_atom_site_fract_z
_atom_site_occupancy
Tb1 Tb 0.000 0.000 0.000 1
Pd1 Pd 0.250 0.250 0.250 1
Ru1 Ru 0.250 0.250 0.750 1
Pb1 Pb 0.000 0.000 0.500 1
```



[2]
DFT (PBE-GGA) results for crystalline Nd3Zn8Au3 at its relaxed geometry.

Computed properties:
The energy above the most stable polymorph in this dataset is 0.00 eV/f.u. The value obtained for the energy relative to the elements is -471 meV/atom.

CIF file:
```
data_Nd3Zn8Au3
_symmetry_space_group_name_H-M 'C 1 2/m 1'
_symmetry_Int_Tables_number 12
_symmetry_space_group_name_Hall '-C 2y'
_cell_length_a 15.962
_cell_length_b 4.455
_cell_length_c 9.226
_cell_angle_alpha 90.00
_cell_angle_beta 123.48
_cell_angle_gamma 90.00
loop_
_atom_site_label
_atom_site_type_symbol
_atom_site_fract_x
_atom_site_fract_y
_atom_site_fract_z
_atom_site_occupancy
Nd1 Nd 0.000 0.000 0.000 1
Nd2 Nd 0.203 0.500 0.697 1
Zn1 Zn 0.002 0.500 0.315 1
Zn2 Zn 0.136 0.000 0.416 1
Zn3 Zn 0.138 0.000 0.847 1
Zn4 Zn 0.163 0.500 0.309 1
Au1 Au 0.000 0.000 0.500 1
Au2 Au 0.156 0.500 0.017 1
```



[3]
DFT (PBE-GGA) results for crystalline RbTl5Br6 at its relaxed geometry.

Computed properties:
The formation energy without anion corrections is -1.01 eV/atom.

CIF file:
```
data_RbTl5Br6
_symmetry_space_group_name_H-M 'C 1 2/m 1'
_symmetry_Int_Tables_number 12
_symmetry_space_group_name_Hall '-C 2y'
_cell_length_a 8.318
_cell_length_b 14.409
_cell_length_c 8.318
_cell_angle_alpha 90.00
_cell_angle_beta 109.49
_cell_angle_gamma 90.00
loop_
_atom_site_label
_atom_site_type_symbol
_atom_site_fract_x
_atom_site_fract_y
_atom_site_fract_z
_atom_site_occupancy
Rb1 Rb 0.000 0.000 0.000 1
Tl1 Tl 0.000 0.166 0.500 1
Tl2 Tl 0.000 0.333 0.000 1
Tl3 Tl 0.000 0.500 0.500 1
Br1 Br 0.244 0.500 0.250 1
Br2 Br 0.246 0.331 0.747 1
```



[4]
DFT (PBE-GGA) results for crystalline Mn2TcP at its relaxed geometry.

Computed properties:
The energy above the most stable polymorph in this dataset is 0.31 eV/f.u. The value obtained for the energy relative to the elements is -178 meV/atom.

CIF file:
```
data_Mn2TcP
_symmetry_space_group_name_H-M 'P 4 m m'
_symmetry_Int_Tables_number 99
_symmetry_space_group_name_Hall 'P 4 -2'
_cell_length_a 2.882
_cell_length_b 2.882
_cell_length_c 5.833
_cell_angle_alpha 90.00
_cell_angle_beta 90.00
_cell_angle_gamma 90.00
loop_
_atom_site_label
_atom_site_type_symbol
_atom_site_fract_x
_atom_site_fract_y
_atom_site_fract_z
_atom_site_occupancy
Mn1 Mn 0.000 0.000 0.000 1
Mn2 Mn 0.500 0.500 0.259 1
Tc1 Tc 0.500 0.500 0.725 1
P1 P 0.000 0.000 0.463 1
```



[5]
DFT (PBE-GGA) results for crystalline ErThIrPt at its relaxed geometry.

Computed properties:
The energy above the most stable polymorph in this dataset is 0.00 eV/f.u. The value obtained for the energy relative to the elements is -1031 meV/atom.

CIF file:
```
data_ErThIrPt
_symmetry_space_group_name_H-M 'P 1 m 1'
_symmetry_Int_Tables_number 6
_symmetry_space_group_name_Hall 'P -2y'
_cell_length_a 4.073
_cell_length_b 4.072
_cell_length_c 5.816
_cell_angle_alpha 90.00
_cell_angle_beta 90.04
_cell_angle_gamma 90.00
loop_
_atom_site_label
_atom_site_type_symbol
_atom_site_fract_x
_atom_site_fract_y
_atom_site_fract_z
_atom_site_occupancy
Er1 Er 0.000 0.000 0.000 1
Th1 Th 0.499 0.500 0.502 1
Ir1 Ir 0.999 0.000 0.500 1
Pt1 Pt 0.500 0.500 0.002 1
```



[6]
DFT (PBE-GGA) results for crystalline ErMgGe2Rh2 at its relaxed geometry.

Computed properties:
The value obtained for the energy relative to the elements is -767 meV/atom.

CIF file:
```
data_ErMgGe2Rh2
_symmetry_space_group_name_H-M 'P -3 m 1'
_symmetry_Int_Tables_number 164
_symmetry_space_group_name_Hall '-P 3 2"'
_cell_length_a 4.2848
_cell_length_b 4.2848
_cell_length_c 6.5854
_cell_angle_alpha 90.00
_cell_angle_beta 90.00
_cell_angle_gamma 120.00
loop_
_atom_site_label
_atom_site_type_symbol
_atom_site_fract_x
_atom_site_fract_y
_atom_site_fract_z
_atom_site_occupancy
Er1 Er 0.0000 0.0000 0.0000 1
Mg1 Mg 0.0000 0.0000 0.5000 1
Ge1 Ge 0.3333 0.6667 0.2567 1
Rh1 Rh 0.3333 0.6667 0.6486 1
```



[7]
DFT (PBE-GGA) results for crystalline CdPtAu2 at its relaxed geometry.

Computed properties:
The value obtained for the energy relative to the elements is -101 meV/atom.

CIF file:
```
data_CdPtAu2
_symmetry_space_group_name_H-M 'F -4 3 m'
_symmetry_Int_Tables_number 216
_symmetry_space_group_name_Hall 'F -4 2 3'
_cell_length_a 6.599
_cell_length_b 6.599
_cell_length_c 6.599
_cell_angle_alpha 90.00
_cell_angle_beta 90.00
_cell_angle_gamma 90.00
loop_
_atom_site_label
_atom_site_type_symbol
_atom_site_fract_x
_atom_site_fract_y
_atom_site_fract_z
_atom_site_occupancy
Cd1 Cd 0.000 0.000 0.000 1
Pt1 Pt 0.250 0.250 0.750 1
Au1 Au 0.000 0.000 0.500 1
Au2 Au 0.250 0.250 0.250 1
```



[8]
DFT (PBE-GGA) results for crystalline MnTlPd4 at its relaxed geometry.

Computed properties:
The value obtained for the energy relative to the elements is -164 meV/atom.

CIF file:
```
data_MnTlPd4
_symmetry_space_group_name_H-M 'C 1 2/m 1'
_symmetry_Int_Tables_number 12
_symmetry_space_group_name_Hall '-C 2y'
_cell_length_a 9.516
_cell_length_b 3.025
_cell_length_c 7.491
_cell_angle_alpha 90.00
_cell_angle_beta 113.30
_cell_angle_gamma 90.00
loop_
_atom_site_label
_atom_site_type_symbol
_atom_site_fract_x
_atom_site_fract_y
_atom_site_fract_z
_atom_site_occupancy
Mn1 Mn 0.000 0.000 0.000 1
Tl1 Tl 0.000 0.000 0.500 1
Pd1 Pd 0.158 0.500 0.845 1
Pd2 Pd 0.167 0.500 0.316 1
```



N(E_F) for every record listed, in sequence, given in states/eV per cell: 14.99; 15.79; 0.00; 4.10; 2.82; 3.51; 6.34; 4.29.
Final energy for every record listed, in sequence, given in eV for the cell shown: -96.317; -81.853; -69.944; -34.829; -31.007; -34.698; -55.661; -66.582.